CaAcTc2O8, optimized geometry, DFT PBE; crystal system = trigonal; VASP energy = -0.277 hartree per atom; energy relative to the elements, uncorrected = -2.007 eV/atom
1.0
6.020 0.000 0.000
-3.010 5.213 0.000
0.000 0.000 7.135
O Ca Tc Ac
8 1 2 1
direct
0.331 0.165 0.249
0.165 0.835 0.751
0.669 0.835 0.751
0.333 0.667 0.078
0.667 0.333 0.922
0.835 0.669 0.249
0.835 0.165 0.249
0.165 0.331 0.751
0.000 0.000 0.000
0.333 0.667 0.833
0.667 0.333 0.167
0.000 0.000 0.500